# GGA-PBE Hf2Ti, optimized geometry
data_Hf2Ti
_chemical_formula_sum 'Hf8 Ti4'
_symmetry_space_group_name_H-M 'C 1 2/m 1'
_symmetry_Int_Tables_number 12
_symmetry_space_group_name_Hall '-C 2y'
_cell_length_a 11.273
_cell_length_b 3.142
_cell_length_c 7.245
_cell_angle_alpha 90.00
_cell_angle_beta 104.09
_cell_angle_gamma 90.00
loop_
_atom_site_label
_atom_site_type_symbol
_atom_site_fract_x
_atom_site_fract_y
_atom_site_fract_z
Hf1 Hf 0.026 0.000 0.289
Hf2 Hf 0.195 0.500 0.642
Ti1 Ti 0.143 0.500 0.026
# * relative energy among the computed polymorphs: 0 meV/atom

***

HfTi: optimized geometry, GGA-PBE.

The structure in CIF format:
```
data_HfTi
_chemical_formula_sum 'Hf4 Ti4'
_symmetry_space_group_name_H-M 'P 42/m n m'
_symmetry_Int_Tables_number 136
_symmetry_space_group_name_Hall '-P 4n 2n'
_cell_length_a 5.480
_cell_length_b 5.480
_cell_length_c 5.646
_cell_angle_alpha 90.00
_cell_angle_beta 90.00
_cell_angle_gamma 90.00
loop_
_atom_site_label
_atom_site_type_symbol
_atom_site_fract_x
_atom_site_fract_y
_atom_site_fract_z
Hf1 Hf 0.182 0.182 0.000
Ti1 Ti 0.174 0.174 0.500
```

***

HfTi: optimized geometry, GGA-PBE.

The structure in CIF format:
```
data_HfTi
_chemical_formula_sum 'Hf8 Ti8'
_symmetry_space_group_name_H-M 'I 4/m'
_symmetry_Int_Tables_number 87
_symmetry_space_group_name_Hall '-I 4'
_cell_length_a 10.624
_cell_length_b 10.624
_cell_length_c 2.920
_cell_angle_alpha 90.00
_cell_angle_beta 90.00
_cell_angle_gamma 90.00
loop_
_atom_site_label
_atom_site_type_symbol
_atom_site_fract_x
_atom_site_fract_y
_atom_site_fract_z
Hf1 Hf 0.110 0.177 0.000
Ti1 Ti 0.079 0.640 0.000
```

***

HfTi: optimized geometry, GGA-PBE.

The structure in CIF format:
```
data_HfTi
_chemical_formula_sum 'Hf4 Ti4'
_symmetry_space_group_name_H-M 'C 1 2/m 1'
_symmetry_Int_Tables_number 12
_symmetry_space_group_name_Hall '-C 2y'
_cell_length_a 11.043
_cell_length_b 3.102
_cell_length_c 5.272
_cell_angle_alpha 90.00
_cell_angle_beta 117.99
_cell_angle_gamma 90.00
loop_
_atom_site_label
_atom_site_type_symbol
_atom_site_fract_x
_atom_site_fract_y
_atom_site_fract_z
Hf1 Hf 0.121 0.000 0.299
Ti1 Ti 0.130 0.500 0.799
```

***

# GGA-PBE Hf3Ti2, optimized geometry
data_Hf3Ti2
_chemical_formula_sum 'Hf12 Ti8'
_symmetry_space_group_name_H-M 'P b c n'
_symmetry_Int_Tables_number 60
_symmetry_space_group_name_Hall '-P 2n 2ab'
_cell_length_a 6.646
_cell_length_b 7.639
_cell_length_c 8.186
_cell_angle_alpha 90.00
_cell_angle_beta 90.00
_cell_angle_gamma 90.00
loop_
_atom_site_label
_atom_site_type_symbol
_atom_site_fract_x
_atom_site_fract_y
_atom_site_fract_z
Hf1 Hf 0.000 0.173 0.250
Hf2 Hf 0.171 0.492 0.113
Ti1 Ti 0.089 0.183 0.889
# * relative energy among the computed polymorphs: 126 meV/atom

***

HfTi: optimized geometry, GGA-PBE.

The structure in CIF format:
```
data_HfTi
_chemical_formula_sum 'Hf8 Ti8'
_symmetry_space_group_name_H-M 'I 4/m'
_symmetry_Int_Tables_number 87
_symmetry_space_group_name_Hall '-I 4'
_cell_length_a 10.476
_cell_length_b 10.476
_cell_length_c 3.001
_cell_angle_alpha 90.00
_cell_angle_beta 90.00
_cell_angle_gamma 90.00
loop_
_atom_site_label
_atom_site_type_symbol
_atom_site_fract_x
_atom_site_fract_y
_atom_site_fract_z
Hf1 Hf 0.137 0.827 0.000
Ti1 Ti 0.046 0.346 0.500
```

***

# GGA-PBE HfTiTl, optimized geometry
data_HfTiTl
_chemical_formula_sum 'Hf4 Ti4 Tl4'
_symmetry_space_group_name_H-M 'F m m 2'
_symmetry_Int_Tables_number 42
_symmetry_space_group_name_Hall 'F 2 -2'
_cell_length_a 4.313
_cell_length_b 4.345
_cell_length_c 13.624
_cell_angle_alpha 90.00
_cell_angle_beta 90.00
_cell_angle_gamma 90.00
loop_
_atom_site_label
_atom_site_type_symbol
_atom_site_fract_x
_atom_site_fract_y
_atom_site_fract_z
Hf1 Hf 0.000 0.000 0.000
Ti1 Ti 0.000 0.000 0.647
Tl1 Tl 0.000 0.000 0.317
# * relative energy among the computed polymorphs: 0 meV/atom

***

HfTi7Tl3: optimized geometry, GGA-PBE.

The structure in CIF format:
```
data_HfTi7Tl3
_chemical_formula_sum 'Hf2 Ti14 Tl6'
_symmetry_space_group_name_H-M 'C 1 2/m 1'
_symmetry_Int_Tables_number 12
_symmetry_space_group_name_Hall '-C 2y'
_cell_length_a 10.751
_cell_length_b 9.649
_cell_length_c 4.796
_cell_angle_alpha 90.00
_cell_angle_beta 116.35
_cell_angle_gamma 90.00
loop_
_atom_site_label
_atom_site_type_symbol
_atom_site_fract_x
_atom_site_fract_y
_atom_site_fract_z
Hf1 Hf 0.000 0.000 0.000
Ti1 Ti 0.000 0.000 0.500
Ti2 Ti 0.208 0.500 0.708
Ti3 Ti 0.218 0.299 0.218
Tl1 Tl 0.000 0.283 0.500
Tl2 Tl 0.000 0.500 0.000
```

***

no.,magnetic moment (μB per cell),ΔH_f (0 K) (eV/atom)
1,0.00,0.03
2,0.00,0.63
3,0.00,0.30
4,0.00,0.04
5,0.00,0.24
6,0.00,0.18
7,0.00,0.04
8,0.90,0.37